Record 1
Here is Tb5Pm4Er after structural relaxation from Alexandria. Energies are from PBE.

The space group is I4mm (No. 107) and the conventional cell measures 10.6407, 10.6407 and 5.9922 Å, with angles of 90.00, 90.00 and 90.00 degrees. The asymmetric unit holds Tb at (0.0000, 0.0000, 0.0000), Tb at (0.1887, 0.1887, 0.2655), Pm at (0.0000, 0.3233, 0.7567) and Er at (0.0000, 0.0000, 0.5264).

The calculation puts the relative energy among the computed polymorphs at 58.3 meV/atom. For the density of states at the Fermi level, the calculation gives 1.3627 states/eV/atom. The crystal system is tetragonal. For the total magnetic moment, the calculation gives 0.000 μB/f.u.


Record 2
Here is Tb3Pm12Er after structural relaxation from Alexandria. Energies are from PBE.

The space group is P4/mmm (No. 123) and the conventional cell measures 5.1256, 5.1256 and 20.4623 Å, with angles of 90.00, 90.00 and 90.00 degrees. The asymmetric unit holds Tb at (0.0000, 0.0000, 0.0000), Tb at (0.0000, 0.0000, 0.2505), Pm at (0.0000, 0.5000, 0.1252), Pm at (0.0000, 0.5000, 0.3756), Pm at (0.5000, 0.5000, 0.0000), Pm at (0.5000, 0.5000, 0.2505), Pm at (0.5000, 0.5000, 0.5000) and Er at (0.0000, 0.0000, 0.5000).

For the density of states at the Fermi level, the calculation gives 1.4964 states/eV/atom. The total energy is -4.70 eV/atom. The crystal system is tetragonal. For the total magnetic moment, the calculation gives 0.000 μB/f.u.


Record 3
Here is TbPm4Er4 after structural relaxation from Alexandria. Energies are from PBE.

The space group is I4/mmm (No. 139) and the conventional cell measures 10.7389, 10.7389 and 5.0458 Å, with angles of 90.00, 90.00 and 90.00 degrees. The asymmetric unit holds Tb at (0.0000, 0.0000, 0.0000), Pm at (0.0000, 0.3308, 0.0000) and Er at (0.1660, 0.1660, 0.5000).

The calculation puts the relative energy among the computed polymorphs at 0.0 meV/atom. For the density of states at the Fermi level, the calculation gives 1.4803 states/eV/atom. The crystal system is tetragonal. For the total magnetic moment, the calculation gives 0.000 μB/f.u.


Record 4
Here is Tb4PmEr15 after structural relaxation from Alexandria. Energies are from PBE.

The space group is P4/mmm (No. 123) and the conventional cell measures 4.9841, 4.9841 and 24.8865 Å, with angles of 90.00, 90.00 and 90.00 degrees. The asymmetric unit holds Tb at (0.0000, 0.0000, 0.0998), Tb at (0.0000, 0.0000, 0.2995), Pm at (0.0000, 0.0000, 0.5000), Er at (0.0000, 0.5000, 0.0000), Er at (0.0000, 0.5000, 0.1996), Er at (0.0000, 0.5000, 0.3991), Er at (0.5000, 0.5000, 0.0999), Er at (0.5000, 0.5000, 0.2992) and Er at (0.5000, 0.5000, 0.5000).

For the density of states at the Fermi level, the calculation gives 1.3101 states/eV/atom. The total energy is -4.56 eV/atom. The crystal system is tetragonal. For the total magnetic moment, the calculation gives 0.000 μB/f.u.


Record 5
Here is Tb4Pm3Er after structural relaxation from Alexandria. Energies are from PBE.

The space group is C2/m (No. 12) and the conventional cell measures 23.5486, 3.4850 and 6.7670 Å, with angles of 90.00, 106.65 and 90.00 degrees. The asymmetric unit holds Tb at (0.1243, 0.0000, 0.3833), Tb at (0.2406, 0.5000, 0.7346), Pm at (0.0000, 0.0000, 0.0000), Pm at (0.1256, 0.0000, 0.8684) and Er at (0.0000, 0.5000, 0.5000).

The calculation puts the relative energy among the computed polymorphs at 138.7 meV/atom. For the density of states at the Fermi level, the calculation gives 1.8131 states/eV/atom. The crystal system is monoclinic. For the total magnetic moment, the calculation gives 0.000 μB/f.u.


Record 6
Here is TbPm6Er3 after structural relaxation from Alexandria. Energies are from PBE.

The space group is Cmc2_1 (No. 36) and the conventional cell measures 10.9926, 19.2607 and 6.2896 Å, with angles of 90.00, 90.00 and 90.00 degrees. The asymmetric unit holds Tb at (0.0000, 0.1979, 0.0000), Pm at (0.0000, 0.0385, 0.2197), Pm at (0.0000, 0.2798, 0.4702), Pm at (0.1681, 0.4577, 0.5720), Pm at (0.2338, 0.2900, 0.7543), Er at (0.0000, 0.3857, 0.0374) and Er at (0.1689, 0.1135, 0.6518).

The calculation puts the relative energy among the computed polymorphs at 17.4 meV/atom. For the density of states at the Fermi level, the calculation gives 1.3701 states/eV/atom. The crystal system is orthorhombic. For the total magnetic moment, the calculation gives 0.000 μB/f.u.


Record 7
Here is TbPm12Er5 after structural relaxation from Alexandria. Energies are from PBE.

The space group is C2/m (No. 12) and the conventional cell measures 12.0909, 17.1187 and 5.7631 Å, with angles of 90.00, 90.00 and 90.00 degrees. The asymmetric unit holds Tb at (0.0000, 0.0000, 0.0000), Pm at (0.1495, 0.1805, 0.0021), Pm at (0.1497, 0.3199, 0.4980), Pm at (0.2003, 0.5000, 0.0188), Pm at (0.2019, 0.0000, 0.4809), Er at (0.0000, 0.1357, 0.5000), Er at (0.0000, 0.3651, 0.0000) and Er at (0.0000, 0.5000, 0.5000).

For the density of states at the Fermi level, the calculation gives 1.4404 states/eV/atom. The total energy is -4.61 eV/atom. The crystal system is monoclinic. For the total magnetic moment, the calculation gives 0.001 μB/f.u.


Record 8
Here is Tb2PmEr12 after structural relaxation from Alexandria. Energies are from PBE.

The space group is C2/m (No. 12) and the conventional cell measures 7.0776, 11.1447 and 23.9416 Å, with angles of 90.00, 93.94 and 90.00 degrees. The asymmetric unit holds Tb at (0.0727, 0.0000, 0.2819), Tb at (0.0730, 0.5000, 0.2825), Pm at (0.2494, 0.0000, 0.0000), Er at (0.0168, 0.2506, 0.0677), Er at (0.0328, 0.0000, 0.1376), Er at (0.0330, 0.5000, 0.1382), Er at (0.1122, 0.2505, 0.4448), Er at (0.1421, 0.0000, 0.5756), Er at (0.1429, 0.5000, 0.5754), Er at (0.1649, 0.2500, 0.6698) and Er at (0.2032, 0.2500, 0.8066).

For the density of states at the Fermi level, the calculation gives 1.7289 states/eV/atom. The total energy is -4.47 eV/atom. The crystal system is monoclinic. For the total magnetic moment, the calculation gives 0.000 μB/f.u.


Record 9
Here is TbPm12Er7 after structural relaxation from Alexandria. Energies are from PBE.

The space group is R-3 (No. 148, hexagonal axes) and the conventional cell measures 19.5904, 19.5904 and 6.1703 Å, with angles of 90.00, 90.00 and 120.00 degrees. The asymmetric unit holds Tb at (0.0000, 0.0000, 0.0000), Pm at (0.9998, 0.4130, 0.4993), Pm at (0.0978, 0.5485, 0.9637), Er at (0.0000, 0.0000, 0.5000) and Er at (0.0810, 0.1627, 0.7924).

The calculation puts the relative energy among the computed polymorphs at 20.7 meV/atom. For the density of states at the Fermi level, the calculation gives 1.4246 states/eV/atom. The crystal system is trigonal. For the total magnetic moment, the calculation gives 0.000 μB/f.u.


Record 10
Here is Tb2PmEr9 after structural relaxation from Alexandria. Energies are from PBE.

The space group is P6/mmm (No. 191) and the conventional cell measures 11.1444, 11.1444 and 3.4925 Å, with angles of 90.00, 90.00 and 120.00 degrees. The asymmetric unit holds Tb at (0.3333, 0.6667, 0.0000), Pm at (0.0000, 0.0000, 0.0000), Er at (0.0000, 0.5000, 0.0000) and Er at (0.1775, 0.3550, 0.5000).

The calculation puts the relative energy among the computed polymorphs at 24.2 meV/atom. For the density of states at the Fermi level, the calculation gives 1.4550 states/eV/atom. The crystal system is hexagonal. For the total magnetic moment, the calculation gives 0.000 μB/f.u.


Record 11
Here is Tb5PmEr2 after structural relaxation from Alexandria. Energies are from PBE.

The space group is C2/m (No. 12) and the conventional cell measures 16.3261, 5.6495 and 11.4498 Å, with angles of 90.00, 90.05 and 90.00 degrees. The asymmetric unit holds Tb at (0.0429, 0.0000, 0.3866), Tb at (0.0440, 0.0000, 0.1124), Tb at (0.0875, 0.5000, 0.9211), Tb at (0.0878, 0.5000, 0.5776), Tb at (0.1045, 0.5000, 0.2499), Pm at (0.2272, 0.0000, 0.2502), Er at (0.2130, 0.0000, 0.5796) and Er at (0.2133, 0.0000, 0.9203).

The calculation puts the relative energy among the computed polymorphs at 123.9 meV/atom. For the density of states at the Fermi level, the calculation gives 1.5033 states/eV/atom. The crystal system is monoclinic. For the total magnetic moment, the calculation gives 0.000 μB/f.u.


Record 12
Here is Tb7PmEr12 after structural relaxation from Alexandria. Energies are from PBE.

The space group is R-3 (No. 148, hexagonal axes) and the conventional cell measures 12.7516, 12.7516 and 13.5323 Å, with angles of 90.00, 90.00 and 120.00 degrees. The asymmetric unit holds Tb at (0.0000, 0.0000, 0.0000), Tb at (0.0682, 0.2017, 0.3488), Pm at (0.0000, 0.0000, 0.5000), Er at (0.0030, 0.5666, 0.7482) and Er at (0.0681, 0.8679, 0.8472).

The calculation puts the relative energy among the computed polymorphs at 0.0 meV/atom. For the density of states at the Fermi level, the calculation gives 0.8630 states/eV/atom. The crystal system is trigonal. For the total magnetic moment, the calculation gives 0.000 μB/f.u.


- Which formula does entry 7 have?
  TbPm12Er5


- total magnetic moment of number 5 (Tb4Pm3Er)?
  0.000 μB/f.u.